[1]
## Nb3Co3C (GGA-PBEsol)

Data for an optimized crystal structure of Nb3Co3C.

Cell: 7.939 7.939 7.939 Å, 60.00 60.00 60.00°
Atoms (fractional coordinates):
Nb 0.799 0.201 0.799
Nb 0.451 0.049 0.049
Nb 0.049 0.451 0.451
Nb 0.049 0.451 0.049
Nb 0.451 0.451 0.049
Nb 0.049 0.049 0.451
Nb 0.799 0.799 0.201
Nb 0.799 0.201 0.201
Nb 0.201 0.799 0.799
Nb 0.201 0.201 0.799
Nb 0.451 0.049 0.451
Nb 0.201 0.799 0.201
Co 0.125 0.625 0.625
Co 0.625 0.625 0.625
Co 0.625 0.625 0.125
Co 0.625 0.125 0.625
Co 0.520 0.827 0.827
Co 0.423 0.423 0.423
Co 0.423 0.423 0.730
Co 0.423 0.730 0.423
Co 0.827 0.827 0.520
Co 0.827 0.520 0.827
Co 0.827 0.827 0.827
Co 0.730 0.423 0.423
C 0.625 0.125 0.125
C 0.125 0.125 0.125
C 0.125 0.125 0.625
C 0.125 0.625 0.125

Computed properties:
* total magnetization: 5.2 Bohr magnetons per cell
* ΔH_f (0 K): -28.8 kJ per mole of atoms
* crystal system: cubic
* DFT total energy: -9.63 eV per atom
* density of states at the Fermi level: 21.47 states/eV/cell
* V: 12.63 Å³/atom

[2]
## Nb4Co2C (GGA-PBEsol)

Data for an optimized crystal structure of Nb4Co2C.

Cell: 8.189 8.189 8.189 Å, 60.00 60.00 60.00°
Atoms (fractional coordinates):
Nb 0.125 0.125 0.125
Nb 0.125 0.125 0.625
Nb 0.125 0.625 0.125
Nb 0.625 0.125 0.125
Nb 0.688 0.688 0.312
Nb 0.312 0.312 0.688
Nb 0.688 0.312 0.688
Nb 0.312 0.688 0.312
Nb 0.688 0.312 0.312
Nb 0.312 0.688 0.688
Nb 0.562 0.562 0.938
Nb 0.938 0.938 0.562
Nb 0.562 0.938 0.562
Nb 0.938 0.562 0.938
Nb 0.562 0.938 0.938
Nb 0.938 0.562 0.562
Co 0.921 0.921 0.921
Co 0.921 0.921 0.237
Co 0.921 0.237 0.921
Co 0.237 0.921 0.921
Co 0.329 0.329 0.329
Co 0.329 0.329 0.013
Co 0.329 0.013 0.329
Co 0.013 0.329 0.329
C 0.625 0.625 0.625
C 0.625 0.625 0.125
C 0.625 0.125 0.625
C 0.125 0.625 0.625

Computed properties:
* total magnetization: 0.1 Bohr magnetons per cell
* ΔH_f (0 K): -28.8 kJ per mole of atoms
* crystal system: cubic
* DFT total energy: -10.07 eV per atom
* density of states at the Fermi level: 41.90 states/eV/cell
* V: 13.87 Å³/atom

[3]
## TiCoNiC2 (GGA-PBEsol)

Data for an optimized crystal structure of TiCoNiC2.

Cell: 3.547 3.547 4.449 Å, 90.00 90.00 90.00°
Atoms (fractional coordinates):
Ni 0.000 0.000 0.500
C 0.000 0.500 0.000
C 0.500 0.000 0.000
Co 0.000 0.000 0.000
Ti 0.500 0.500 0.500

Computed properties:
* total magnetization: 0.0 Bohr magnetons per cell
* ΔH_f (0 K): 112.6 kJ per mole of atoms
* crystal system: tetragonal
* DFT total energy: -7.13 eV per atom
* density of states at the Fermi level: 5.49 states/eV/cell
* V: 11.19 Å³/atom

[4]
## CoCO3 (GGA-PBEsol)

Data for an optimized crystal structure of CoCO3.

Cell: 4.609 4.609 5.533 Å, 65.39 65.39 60.00°
Atoms (fractional coordinates):
C 0.750 0.750 0.750
C 0.250 0.250 0.250
Co 0.500 0.500 0.500
Co 0.000 0.000 0.000
O 0.750 0.469 0.750
O 0.250 0.531 0.250
O 0.469 0.031 0.750
O 0.031 0.750 0.750
O 0.531 0.969 0.250
O 0.969 0.250 0.250

Computed properties:
* total magnetization: 6.0 Bohr magnetons per cell
* ΔE_f (raw): -1.063 eV/atom
* crystal system: trigonal
* DFT total energy: -7.69 eV per atom
* density of states at the Fermi level: 10.63 states/eV/cell
* V: 8.92 Å³/atom

[5]
## CoCO2 (GGA-PBEsol)

Data for an optimized crystal structure of CoCO2.

Cell: 4.226 4.226 4.865 Å, 115.74 115.74 90.00°
Atoms (fractional coordinates):
C 0.750 0.250 0.500
C 0.500 0.500 0.000
Co 0.250 0.750 0.500
Co 0.000 0.000 0.000
O 0.788 0.375 0.250
O 0.462 0.875 0.250
O 0.625 0.538 0.750
O 0.125 0.212 0.750

Computed properties:
* total magnetization: 3.2 Bohr magnetons per cell
* ΔE_f (raw): 0.642 eV/atom
* crystal system: tetragonal
* DFT total energy: -6.33 eV per atom
* density of states at the Fermi level: 5.26 states/eV/cell
* V: 8.57 Å³/atom

[6]
## Co3CO (GGA-PBEsol)

Data for an optimized crystal structure of Co3CO.

Cell: 3.641 3.641 3.641 Å, 90.00 90.00 90.00°
Atoms (fractional coordinates):
C 0.500 0.500 0.500
Co 0.000 0.500 0.000
Co 0.000 0.000 0.500
Co 0.500 0.000 0.000
O 0.000 0.000 0.000

Computed properties:
* total magnetization: 3.3 Bohr magnetons per cell
* ΔE_f (raw): 0.885 eV/atom
* crystal system: cubic
* DFT total energy: -6.74 eV per atom
* density of states at the Fermi level: 5.05 states/eV/cell
* V: 9.65 Å³/atom